[1]
The following is a DFT calculation (GGA-PBE) of an optimized crystal structure of Na2AlTlAu6. Values from VASP.

ΔE_f: 0.04 eV per atom
calculated density: 8.836 g/cm3
electronic total energy: -2.80 eV/atom

```
&SYSTEM
  ibrav = 0, nat = 10, ntyp = 4
/
ATOMIC_SPECIES
Au 196.97 Au.upf
Na 22.99 Na.upf
Al 26.98 Al.upf
Tl 204.38 Tl.upf
ATOMIC_POSITIONS crystal
Au 0.736 0.736 0.000
Au 0.264 0.264 0.472
Au 0.736 0.736 0.528
Au 0.264 0.264 0.000
Au 0.264 0.736 0.000
Au 0.736 0.264 0.000
Na 0.250 0.750 0.500
Na 0.750 0.250 0.500
Al 0.500 0.500 0.000
Tl 0.000 0.000 0.000
CELL_PARAMETERS angstrom
7.292 0.000 0.000
0.000 7.292 0.000
3.646 3.646 5.157
```

---

[2]
The following is a DFT calculation (GGA-PBE) of an optimized crystal structure of BAu2C. Values from VASP.

ΔE_f: 1.87 eV per atom
calculated density: 13.628 g/cm3
electronic total energy: -3.74 eV/atom

```
&SYSTEM
  ibrav = 0, nat = 4, ntyp = 3
/
ATOMIC_SPECIES
Au 196.97 Au.upf
B 10.81 B.upf
C 12.01 C.upf
ATOMIC_POSITIONS crystal
Au 0.250 0.250 0.250
Au 0.750 0.750 0.750
B 0.000 0.000 0.000
C 0.500 0.500 0.500
CELL_PARAMETERS angstrom
-0.098 -3.106 -2.761
0.422 -3.932 1.279
-3.256 -2.582 -0.109
```